#1
## KYPb2 (GGA-PBE)

Data for a geometry-optimized KYPb2 structure.

Geometry as POSCAR:
```
KYPb2
1.0
4.638 0.000 0.000
0.000 3.632 0.022
0.000 3.594 7.975
Pb Y K
2 1 1
Direct
0.000 0.950 0.051
0.000 0.550 0.449
0.500 0.250 0.250
0.500 0.750 0.750
```

Results
Magnetic moment = 0.000 μB per atom

---

#2
## KYPb2 (GGA-PBE)

Data for a geometry-optimized KYPb2 structure.

Geometry as POSCAR:
```
KYPb2
1.0
-3.812 3.712 2.366
-0.708 -2.439 2.686
4.260 2.318 3.225
Pb K Y
2 1 1
Direct
0.500 0.125 0.374
0.000 0.124 0.876
0.500 0.624 0.874
0.000 0.627 0.375
```

Results
Magnetic moment = 0.000 μB per atom

---

The structure with the least stability is #2.

---

#1
## K3ZnPb (GGA-PBE)

Data for a geometry-optimized K3ZnPb structure.

Geometry as POSCAR:
```
K3ZnPb
1.0
-5.672 2.236 5.827
1.026 -8.216 1.606
7.586 3.511 -0.008
Pb K Zn
2 6 2
Direct
0.326 0.929 0.255
0.674 0.071 0.745
0.219 0.410 0.234
0.177 0.985 0.766
0.728 0.447 0.174
0.823 0.015 0.234
0.781 0.590 0.766
0.272 0.553 0.826
0.632 0.789 0.420
0.368 0.211 0.580
```

Results
Magnetic moment = 0.000 μB per atom

---

#2
## K3ZnPb (GGA-PBE)

Data for a geometry-optimized K3ZnPb structure.

Geometry as POSCAR:
```
K3ZnPb
1.0
-5.433 4.232 0.107
-3.933 -4.982 -2.675
-1.566 -2.172 6.346
Zn K Pb
1 3 1
Direct
0.500 0.500 0.500
0.500 0.000 0.000
0.000 0.500 0.000
0.000 0.000 0.500
0.000 0.000 0.000
```

Results
Magnetic moment = 0.200 μB per atom

---

The structure with the least stability is #2.

---

#1
## KZn2Pb2 (GGA-PBE)

Data for a geometry-optimized KZn2Pb2 structure.

Geometry as POSCAR:
```
KZn2Pb2
1.0
-0.666 -1.874 -4.402
4.718 0.478 -0.918
3.041 -6.371 -0.398
Zn K Pb
2 1 2
Direct
0.250 0.750 0.500
0.750 0.250 0.500
0.000 0.000 0.000
0.626 0.626 0.748
0.374 0.374 0.252
```

Results
Magnetic moment = 0.000 μB per atom

---

#2
## KZn2Pb2 (GGA-PBE)

Data for a geometry-optimized KZn2Pb2 structure.

Geometry as POSCAR:
```
KZn2Pb2
1.0
-8.690 1.251 1.932
-0.355 -8.185 3.701
0.862 1.327 3.018
Zn K Pb
4 2 4
Direct
0.153 0.653 0.500
0.847 0.347 0.500
0.347 0.153 0.500
0.653 0.847 0.500
0.000 0.000 0.000
0.500 0.500 0.000
0.864 0.636 0.000
0.364 0.864 0.000
0.636 0.136 0.000
0.136 0.364 0.000
```

Results
Magnetic moment = 0.000 μB per atom

---

#3
## KZn2Pb2 (GGA-PBE)

Data for a geometry-optimized KZn2Pb2 structure.

Geometry as POSCAR:
```
KZn2Pb2
1.0
-1.671 2.313 3.994
3.977 -1.434 2.495
3.980 5.371 1.572
Pb K Zn
2 1 2
Direct
0.250 0.750 0.500
0.750 0.250 0.500
0.000 0.000 0.000
0.606 0.606 0.789
0.394 0.394 0.211
```

Results
Magnetic moment = 0.000 μB per atom

---

#4
## KZn2Pb2 (GGA-PBE)

Data for a geometry-optimized KZn2Pb2 structure.

Geometry as POSCAR:
```
KZn2Pb2
1.0
8.706 0.000 0.000
0.000 8.706 0.000
0.000 0.000 3.586
Zn Pb K
4 4 2
Direct
0.626 0.126 0.000
0.374 0.874 0.000
0.874 0.626 0.000
0.126 0.374 0.000
0.658 0.842 0.500
0.842 0.342 0.500
0.158 0.658 0.500
0.342 0.158 0.500
0.500 0.500 0.000
0.000 0.000 0.000
```

Results
Magnetic moment = 0.000 μB per atom

---

The structure with the least stability is #2.

---

#1
## K2ZnPb2 (GGA-PBE)

Data for a geometry-optimized K2ZnPb2 structure.

Geometry as POSCAR:
```
K2ZnPb2
1.0
-2.816 3.471 -1.689
-3.847 -2.691 0.885
-3.851 3.565 6.989
K Zn Pb
2 1 2
Direct
0.750 0.250 0.500
0.250 0.750 0.500
0.000 0.000 0.000
0.412 0.412 0.176
0.588 0.588 0.824
```

Results
Magnetic moment = 0.000 μB per atom

---

#2
## K2ZnPb2 (GGA-PBE)

Data for a geometry-optimized K2ZnPb2 structure.

Geometry as POSCAR:
```
K2ZnPb2
1.0
-2.764 1.926 9.653
1.066 -9.909 2.282
3.687 0.612 0.934
Pb Zn K
4 2 4
Direct
0.399 0.899 0.000
0.899 0.601 0.000
0.101 0.399 0.000
0.601 0.101 0.000
0.500 0.500 0.000
0.000 0.000 0.000
0.196 0.696 0.500
0.804 0.304 0.500
0.696 0.804 0.500
0.304 0.196 0.500
```

Results
Magnetic moment = 0.000 μB per atom

---

The structure with the least stability is #1.

---

#1
## K2Zn2Pb (GGA-PBE)

Data for a geometry-optimized K2Zn2Pb structure.

Geometry as POSCAR:
```
K2Zn2Pb
1.0
-1.314 -2.368 -2.462
2.780 -2.274 0.702
-5.683 -7.553 7.578
Pb K Zn
1 2 2
Direct
0.000 0.000 0.000
0.617 0.617 0.767
0.383 0.383 0.233
0.750 0.250 0.500
0.250 0.750 0.500
```

Results
Magnetic moment = 0.000 μB per atom

---

#2
## K2Zn2Pb (GGA-PBE)

Data for a geometry-optimized K2Zn2Pb structure.

Geometry as POSCAR:
```
K2Zn2Pb
1.0
4.947 0.000 0.000
0.000 4.947 0.000
2.474 2.474 6.838
Zn K Pb
2 2 1
Direct
0.411 0.411 0.178
0.589 0.589 0.822
0.750 0.250 0.500
0.250 0.750 0.500
0.000 0.000 0.000
```

Results
Magnetic moment = 0.000 μB per atom

---

The structure with the least stability is #2.

---

#1
## KZrPb3 (GGA-PBE)

Data for a geometry-optimized KZrPb3 structure.

Geometry as POSCAR:
```
KZrPb3
1.0
5.740 0.000 0.000
0.000 5.740 0.000
0.000 0.000 5.740
Pb K Zr
3 1 1
Direct
0.500 0.000 0.000
0.000 0.000 0.500
0.000 0.500 0.000
0.500 0.500 0.500
0.000 0.000 0.000
```

Results
Magnetic moment = 0.000 μB per atom

---

#2
## KZrPb3 (GGA-PBE)

Data for a geometry-optimized KZrPb3 structure.

Geometry as POSCAR:
```
KZrPb3
1.0
5.665 0.000 0.000
0.000 5.665 0.000
0.000 0.000 5.665
Zr Pb K
1 3 1
Direct
0.500 0.500 0.500
0.500 0.000 0.000
0.000 0.500 0.000
0.000 0.000 0.500
0.000 0.000 0.000
```

Results
Magnetic moment = 0.001 μB per atom

---

The structure with the least stability is #2.